i:
Below is TbPm2Pr2 after structural relaxation, with properties calculated at the PBE level.

Lattice parameters (Å, degrees): 6.567 6.567 9.066 104.71 104.71 96.92
Sites, in units of the cell vectors:
Tb 0.201 0.799 0.750
Tb 0.799 0.201 0.250
Pm 0.000 0.500 0.000
Pm 0.500 0.000 0.500
Pm 0.500 0.500 0.000
Pm 0.500 0.500 0.500
Pr 0.071 0.248 0.637
Pr 0.248 0.071 0.137
Pr 0.752 0.929 0.863
Pr 0.929 0.752 0.363

Summary:
size of the total moment	0.0	μB/cell
mass density	6.8	Mg/m³
SG	C2/c (15)
crystal system	monoclinic

ii:
Below is TbPm2Pr2 after structural relaxation, with properties calculated at the PBE level.

Lattice parameters (Å, degrees): 3.659 3.659 44.752 90.00 90.00 120.00
Sites, in units of the cell vectors:
Tb 0.000 0.000 0.000
Tb 0.333 0.667 0.667
Tb 0.667 0.333 0.333
Pm 0.000 0.000 0.398
Pm 0.000 0.000 0.602
Pm 0.333 0.667 0.065
Pm 0.333 0.667 0.268
Pm 0.667 0.333 0.732
Pm 0.667 0.333 0.935
Pr 0.000 0.000 0.201
Pr 0.000 0.000 0.799
Pr 0.333 0.667 0.466
Pr 0.333 0.667 0.867
Pr 0.667 0.333 0.133
Pr 0.667 0.333 0.534

Summary:
size of the total moment	0.0	μB/cell
mass density	7.0	Mg/m³
SG	R-3m (166)
crystal system	trigonal

Energy ordering: ii at the bottom, the next structure 20.2 kJ/mol of atoms above.

i:
Below is Tb5Pm3Pr4 after structural relaxation, with properties calculated at the PBE level.

Lattice parameters (Å, degrees): 8.682 8.682 9.456 114.47 114.47 40.62
Sites, in units of the cell vectors:
Tb 0.000 0.000 0.000
Tb 0.328 0.328 0.612
Tb 0.428 0.428 0.302
Tb 0.572 0.572 0.698
Tb 0.672 0.672 0.388
Pm 0.210 0.210 0.231
Pm 0.500 0.500 0.000
Pm 0.790 0.790 0.769
Pr 0.084 0.084 0.444
Pr 0.212 0.212 0.881
Pr 0.788 0.788 0.119
Pr 0.916 0.916 0.556

Summary:
size of the total moment	0.2	μB/cell
mass density	7.2	Mg/m³
SG	C2/m (12)
crystal system	monoclinic

ii:
Below is Tb5Pm3Pr4 after structural relaxation, with properties calculated at the PBE level.

Lattice parameters (Å, degrees): 6.299 7.261 8.905 90.10 90.07 90.04
Sites, in units of the cell vectors:
Tb 0.000 0.000 0.000
Tb 0.334 0.500 0.331
Tb 0.499 0.252 0.000
Tb 0.501 0.748 0.000
Tb 0.666 0.500 0.669
Pm 0.000 0.500 0.000
Pm 0.168 0.251 0.669
Pm 0.832 0.749 0.331
Pr 0.168 0.748 0.669
Pr 0.332 0.000 0.330
Pr 0.668 0.000 0.670
Pr 0.832 0.252 0.331

Summary:
size of the total moment	0.0	μB/cell
mass density	7.3	Mg/m³
SG	P-1 (2)
crystal system	triclinic

Energy ordering: ii at the bottom, the next structure 18.9 kJ/mol of atoms above.

i:
Below is Tb3PmPr7 after structural relaxation, with properties calculated at the PBE level.

Lattice parameters (Å, degrees): 8.656 8.656 5.996 110.22 110.22 83.45
Sites, in units of the cell vectors:
Tb 0.000 0.000 0.000
Tb 0.203 0.797 0.500
Tb 0.797 0.203 0.500
Pm 0.500 0.500 0.000
Pr 0.011 0.597 0.804
Pr 0.209 0.209 0.709
Pr 0.403 0.989 0.196
Pr 0.500 0.500 0.500
Pr 0.597 0.011 0.804
Pr 0.791 0.791 0.291
Pr 0.989 0.403 0.196

Summary:
size of the total moment	0.0	μB/cell
mass density	6.8	Mg/m³
SG	C2/m (12)
crystal system	monoclinic

ii:
Below is Tb3PmPr7 after structural relaxation, with properties calculated at the PBE level.

Lattice parameters (Å, degrees): 7.880 7.880 6.500 94.54 94.54 81.90
Sites, in units of the cell vectors:
Tb 0.000 0.000 0.000
Tb 0.169 0.831 0.500
Tb 0.831 0.169 0.500
Pm 0.500 0.500 0.000
Pr 0.073 0.424 0.239
Pr 0.235 0.235 0.713
Pr 0.424 0.073 0.239
Pr 0.500 0.500 0.500
Pr 0.576 0.927 0.761
Pr 0.765 0.765 0.287
Pr 0.927 0.576 0.761

Summary:
size of the total moment	0.0	μB/cell
mass density	6.7	Mg/m³
SG	C2/m (12)
crystal system	monoclinic

Energy ordering: i at the bottom, the next structure 0.9 kJ/mol of atoms above.

i:
Below is Tb4Pm3Pr2 after structural relaxation, with properties calculated at the PBE level.

Lattice parameters (Å, degrees): 6.273 6.282 8.111 82.42 75.07 80.51
Sites, in units of the cell vectors:
Tb 0.110 0.224 0.055
Tb 0.222 0.446 0.611
Tb 0.778 0.554 0.389
Tb 0.890 0.776 0.945
Pm 0.000 0.000 0.500
Pm 0.443 0.890 0.722
Pm 0.557 0.110 0.278
Pr 0.332 0.668 0.167
Pr 0.668 0.332 0.833

Summary:
size of the total moment	0.0	μB/cell
mass density	7.4	Mg/m³
SG	P-1 (2)
crystal system	triclinic

ii:
Below is Tb4Pm3Pr2 after structural relaxation, with properties calculated at the PBE level.

Lattice parameters (Å, degrees): 3.642 3.642 39.808 90.00 90.00 120.00
Sites, in units of the cell vectors:
Tb 0.000 0.000 0.000
Tb 0.000 0.000 0.145
Tb 0.333 0.667 0.216
Tb 0.333 0.667 0.362
Pm 0.000 0.000 0.289
Pm 0.333 0.667 0.071
Pm 0.333 0.667 0.513
Pr 0.000 0.000 0.434
Pr 0.000 0.000 0.586

Summary:
size of the total moment	0.5	μB/cell
mass density	4.9	Mg/m³
SG	P3m1 (156)
crystal system	trigonal

Energy ordering: i at the bottom, the next structure 14.2 kJ/mol of atoms above.

i:
Below is Tb5PmPr2 after structural relaxation, with properties calculated at the PBE level.

Lattice parameters (Å, degrees): 7.217 14.437 5.109 90.00 90.00 90.00
Sites, in units of the cell vectors:
Tb 0.000 0.000 0.000
Tb 0.001 0.249 0.000
Tb 0.249 0.625 0.500
Tb 0.251 0.125 0.500
Tb 0.499 0.749 0.000
Tb 0.500 0.500 0.000
Tb 0.501 0.251 0.000
Tb 0.749 0.875 0.500
Tb 0.751 0.375 0.500
Tb 0.999 0.751 0.000
Pm 0.000 0.500 0.000
Pm 0.500 0.000 0.000
Pr 0.249 0.875 0.500
Pr 0.251 0.375 0.500
Pr 0.749 0.625 0.500
Pr 0.751 0.125 0.500

Summary:
size of the total moment	0.0	μB/cell
mass density	7.6	Mg/m³
SG	Pbam (55)
crystal system	orthorhombic

ii:
Below is Tb5PmPr2 after structural relaxation, with properties calculated at the PBE level.

Lattice parameters (Å, degrees): 9.622 9.622 6.579 97.15 97.15 62.72
Sites, in units of the cell vectors:
Tb 0.059 0.941 0.750
Tb 0.108 0.287 0.025
Tb 0.287 0.108 0.525
Tb 0.314 0.488 0.855
Tb 0.488 0.314 0.355
Tb 0.512 0.686 0.645
Tb 0.686 0.512 0.145
Tb 0.713 0.892 0.475
Tb 0.892 0.713 0.975
Tb 0.941 0.059 0.250
Pm 0.000 0.500 0.500
Pm 0.500 0.000 0.000
Pr 0.175 0.669 0.385
Pr 0.331 0.825 0.115
Pr 0.669 0.175 0.885
Pr 0.825 0.331 0.615

Summary:
size of the total moment	0.0	μB/cell
mass density	7.6	Mg/m³
SG	C2/c (15)
crystal system	monoclinic

Energy ordering: i at the bottom, the next structure 14.3 kJ/mol of atoms above.

i:
Below is Tb2Pm8Pr3 after structural relaxation, with properties calculated at the PBE level.

Lattice parameters (Å, degrees): 8.918 8.918 6.239 107.13 107.13 83.67
Sites, in units of the cell vectors:
Tb 0.211 0.211 0.354
Tb 0.789 0.789 0.646
Pm 0.056 0.056 0.783
Pm 0.069 0.582 0.325
Pm 0.344 0.344 0.949
Pm 0.418 0.931 0.675
Pm 0.582 0.069 0.325
Pm 0.656 0.656 0.051
Pm 0.931 0.418 0.675
Pm 0.944 0.944 0.217
Pr 0.258 0.742 0.000
Pr 0.500 0.500 0.500
Pr 0.742 0.258 0.000

Summary:
size of the total moment	0.0	μB/cell
mass density	7.0	Mg/m³
SG	C2/m (12)
crystal system	monoclinic

ii:
Below is Tb2Pm8Pr3 after structural relaxation, with properties calculated at the PBE level.

Lattice parameters (Å, degrees): 10.990 10.990 5.807 90.06 90.06 41.35
Sites, in units of the cell vectors:
Tb 0.242 0.242 0.497
Tb 0.758 0.758 0.503
Pm 0.136 0.136 0.999
Pm 0.183 0.600 0.500
Pm 0.326 0.326 0.998
Pm 0.400 0.817 0.500
Pm 0.600 0.183 0.500
Pm 0.674 0.674 0.002
Pm 0.817 0.400 0.500
Pm 0.864 0.864 0.001
Pr 0.000 0.000 0.500
Pr 0.289 0.711 0.000
Pr 0.711 0.289 0.000

Summary:
size of the total moment	0.0	μB/cell
mass density	6.8	Mg/m³
SG	C2/m (12)
crystal system	monoclinic

Energy ordering: i at the bottom, the next structure 6.6 kJ/mol of atoms above.

i:
Below is Tb2PmPr2 after structural relaxation, with properties calculated at the PBE level.

Lattice parameters (Å, degrees): 7.994 7.994 6.440 100.47 100.47 114.03
Sites, in units of the cell vectors:
Tb 0.181 0.819 0.750
Tb 0.302 0.698 0.250
Tb 0.698 0.302 0.750
Tb 0.819 0.181 0.250
Pm 0.429 0.571 0.750
Pm 0.571 0.429 0.250
Pr 0.116 0.239 0.920
Pr 0.239 0.116 0.420
Pr 0.761 0.884 0.580
Pr 0.884 0.761 0.080

Summary:
size of the total moment	0.0	μB/cell
mass density	7.0	Mg/m³
SG	C2/c (15)
crystal system	monoclinic

ii:
Below is Tb2PmPr2 after structural relaxation, with properties calculated at the PBE level.

Lattice parameters (Å, degrees): 3.640 3.640 44.504 90.00 90.00 120.00
Sites, in units of the cell vectors:
Tb 0.000 0.000 0.101
Tb 0.000 0.000 0.899
Tb 0.333 0.667 0.566
Tb 0.333 0.667 0.768
Tb 0.667 0.333 0.232
Tb 0.667 0.333 0.434
Pm 0.000 0.000 0.500
Pm 0.333 0.667 0.167
Pm 0.667 0.333 0.833
Pr 0.000 0.000 0.299
Pr 0.000 0.000 0.701
Pr 0.333 0.667 0.368
Pr 0.333 0.667 0.965
Pr 0.667 0.333 0.035
Pr 0.667 0.333 0.632

Summary:
size of the total moment	0.0	μB/cell
mass density	7.3	Mg/m³
SG	R-3m (166)
crystal system	trigonal

Energy ordering: ii at the bottom, the next structure 24.3 kJ/mol of atoms above.

i:
Below is Tb2Pm2Pr7 after structural relaxation, with properties calculated at the PBE level.

Lattice parameters (Å, degrees): 6.706 6.706 8.935 97.52 97.52 92.61
Sites, in units of the cell vectors:
Tb 0.175 0.825 0.000
Tb 0.825 0.175 0.000
Pm 0.111 0.111 0.356
Pm 0.889 0.889 0.644
Pr 0.045 0.415 0.706
Pr 0.346 0.346 0.084
Pr 0.415 0.045 0.706
Pr 0.500 0.500 0.500
Pr 0.585 0.955 0.294
Pr 0.654 0.654 0.916
Pr 0.955 0.585 0.294

Summary:
size of the total moment	0.0	μB/cell
mass density	6.7	Mg/m³
SG	C2/m (12)
crystal system	monoclinic

ii:
Below is Tb2Pm2Pr7 after structural relaxation, with properties calculated at the PBE level.

Lattice parameters (Å, degrees): 7.031 7.031 9.680 90.00 90.00 122.30
Sites, in units of the cell vectors:
Tb 0.233 0.767 0.000
Tb 0.767 0.233 0.000
Pm 0.250 0.250 0.500
Pm 0.750 0.750 0.500
Pr 0.000 0.000 0.177
Pr 0.000 0.000 0.823
Pr 0.000 0.500 0.317
Pr 0.000 0.500 0.683
Pr 0.500 0.000 0.317
Pr 0.500 0.000 0.683
Pr 0.500 0.500 0.000

Summary:
size of the total moment	0.0	μB/cell
mass density	6.5	Mg/m³
SG	Cmmm (65)
crystal system	orthorhombic

Energy ordering: i at the bottom, the next structure 21.1 kJ/mol of atoms above.

i:
Below is Tb7PmPr4 after structural relaxation, with properties calculated at the PBE level.

Lattice parameters (Å, degrees): 6.627 6.927 9.180 85.08 77.30 82.02
Sites, in units of the cell vectors:
Tb 0.000 0.000 0.000
Tb 0.187 0.605 0.383
Tb 0.320 0.198 0.641
Tb 0.488 0.749 0.050
Tb 0.512 0.251 0.950
Tb 0.680 0.802 0.359
Tb 0.813 0.395 0.617
Pm 0.000 0.500 0.000
Pr 0.163 0.112 0.309
Pr 0.361 0.691 0.716
Pr 0.639 0.309 0.284
Pr 0.837 0.888 0.691

Summary:
size of the total moment	0.0	μB/cell
mass density	7.4	Mg/m³
SG	P-1 (2)
crystal system	triclinic

ii:
Below is Tb7PmPr4 after structural relaxation, with properties calculated at the PBE level.

Lattice parameters (Å, degrees): 6.788 6.788 12.944 114.92 114.92 52.32
Sites, in units of the cell vectors:
Tb 0.000 0.000 0.000
Tb 0.132 0.132 0.496
Tb 0.289 0.289 0.077
Tb 0.431 0.431 0.685
Tb 0.569 0.569 0.315
Tb 0.711 0.711 0.923
Tb 0.868 0.868 0.504
Pm 0.500 0.500 0.000
Pr 0.136 0.136 0.777
Pr 0.275 0.275 0.332
Pr 0.725 0.725 0.668
Pr 0.864 0.864 0.223

Summary:
size of the total moment	0.0	μB/cell
mass density	7.3	Mg/m³
SG	C2/m (12)
crystal system	monoclinic

Energy ordering: i at the bottom, the next structure 15.6 kJ/mol of atoms above.

i:
Below is Tb3PmPr2 after structural relaxation, with properties calculated at the PBE level.

Lattice parameters (Å, degrees): 11.932 11.932 10.431 108.39 108.39 17.02
Sites, in units of the cell vectors:
Tb 0.059 0.059 0.447
Tb 0.195 0.195 0.715
Tb 0.431 0.431 0.237
Tb 0.569 0.569 0.763
Tb 0.805 0.805 0.285
Tb 0.941 0.941 0.553
Pm 0.188 0.188 0.036
Pm 0.812 0.812 0.964
Pr 0.191 0.191 0.371
Pr 0.433 0.433 0.862
Pr 0.567 0.567 0.138
Pr 0.809 0.809 0.629

Summary:
size of the total moment	0.0	μB/cell
mass density	7.3	Mg/m³
SG	C2/m (12)
crystal system	monoclinic

ii:
Below is Tb3PmPr2 after structural relaxation, with properties calculated at the PBE level.

Lattice parameters (Å, degrees): 9.002 9.002 10.267 122.30 122.30 36.45
Sites, in units of the cell vectors:
Tb 0.051 0.051 0.399
Tb 0.296 0.296 0.578
Tb 0.389 0.389 0.345
Tb 0.611 0.611 0.655
Tb 0.704 0.704 0.422
Tb 0.949 0.949 0.601
Pm 0.135 0.135 0.144
Pm 0.865 0.865 0.856
Pr 0.225 0.225 0.869
Pr 0.485 0.485 0.136
Pr 0.515 0.515 0.864
Pr 0.775 0.775 0.131

Summary:
size of the total moment	0.0	μB/cell
mass density	7.3	Mg/m³
SG	C2/m (12)
crystal system	monoclinic

Energy ordering: ii at the bottom, the next structure 2.0 kJ/mol of atoms above.